No. 1
A relaxed structure of MgMnP, computed with PBE.

Cell lengths 3.8056, 3.8056, 3.5656 Å; angles 90.00, 90.00, 120.00 degrees
Each line ends with the local moment (μB).
Positions (direct):
Mn1 0.6667 0.3333 0.4999  0.78
P1 0.3333 0.6667 0.5001  -0.03
Mg1 0.0000 0.0000 0.0000  -0.01

Summary:
symmetry = P-6m2, No. 187
total DFT energy (no corrections) = -5.64 eV/atom
calculated density = 4.09 g/cm3

No. 2
A relaxed structure of Mg3MnP, computed with PBE.

Cell lengths 4.9805, 4.9805, 4.9805 Å; angles 90.00, 90.00, 90.00 degrees
Each line ends with the local moment (μB).
Positions (direct):
Mg1 0.5000 0.0000 0.0000  -0.01
Mg2 0.0000 0.0000 0.5000  -0.02
Mg3 0.0000 0.5000 0.0000  -0.02
Mn1 0.0000 0.0000 0.0000  3.22
P1 0.5000 0.5000 0.5000  0.09

Summary:
symmetry = Pm-3m, No. 221
offset from the most stable computed form = 586 meV per atom
calculated density = 2.13 g/cm3

No. 3
A relaxed structure of Mg4MnP, computed with PBE.

Cell lengths 5.6181, 5.6181, 5.6181 Å; angles 60.00, 60.00, 60.00 degrees
Each line ends with the local moment (μB).
Positions (direct):
Mg1 0.3750 0.3750 0.8751  -0.02
Mg2 0.3750 0.8751 0.3750  -0.02
Mn1 0.7500 0.7500 0.7500  4.01
P1 0.0000 0.0000 0.0000  0.01
Mg3 0.8751 0.3750 0.3750  -0.02
Mg4 0.3750 0.3750 0.3750  -0.02

Summary:
symmetry = F-43m, No. 216
total DFT energy (no corrections) = -3.03 eV/atom
calculated density = 2.43 g/cm3

No. 4
A relaxed structure of Mg2Mn12P7, computed with PBE.

Cell lengths 3.3957, 9.3841, 9.3841 Å; angles 120.00, 90.00, 90.00 degrees
Each line ends with the local moment (μB).
Positions (direct):
Mn1 0.0000 0.4511 0.5082  1.30
Mn2 0.0000 0.2764 0.0437  1.42
Mn3 0.0000 0.7674 0.7236  1.42
Mn4 0.5000 0.5630 0.7655  2.52
P1 0.0000 0.0430 0.7937  -0.08
Mn5 0.0000 0.0571 0.5489  1.30
P2 0.0000 0.7508 0.9570  -0.08
Mg1 0.0000 0.6667 0.3333  -0.01
Mn6 0.5000 0.8971 0.6132  1.68
Mn7 0.5000 0.7162 0.1029  1.68
P3 0.5000 0.9146 0.3736  -0.07
P4 0.5000 0.4591 0.0854  -0.07
Mn8 0.0000 0.4918 0.9429  1.30
Mn9 0.5000 0.2345 0.7975  2.52
Mn10 0.5000 0.3868 0.2838  1.68
P5 0.0000 0.3333 0.6667  -0.09
Mn11 0.0000 0.9563 0.2326  1.42
Mg2 0.5000 0.0000 0.0000  -0.01
Mn12 0.5000 0.2025 0.4370  2.52
P6 0.0000 0.2063 0.2492  -0.08
P7 0.5000 0.6264 0.5409  -0.07

Summary:
symmetry = P-6, No. 174
total DFT energy (no corrections) = -7.72 eV/atom
calculated density = 5.93 g/cm3

Question: Among the records above, which one has the highest calculated density?
Answer: Mg2Mn12P7

Question: Which value of calculated density does entry 1 give?
Answer: 4.09 g/cm3

Question: The highest calculated density belongs to which entry?
Answer: Mg2Mn12P7

Question: The highest calculated density belongs to which entry?
Answer: Mg2Mn12P7